Entry from Alexandria via LeMat-Bulk: a relaxed Si5Ni12B2 crystal (GGA-PBE).

Values from the calculation:
**Space group**: C2/m
**E_tot**: -6.1364 eV/atom

Unit cell a=5.045 b=6.890 c=6.351 alpha=98.68 beta=90.00 gamma=111.48
Fractional positions:
Ni1 0.400 0.303 0.929
Ni2 0.597 0.695 0.486
Si1 0.230 0.460 0.241
Ni3 0.903 0.303 0.929
Ni4 0.503 0.007 0.706
Ni5 0.497 0.993 0.294
B1 0.327 0.000 0.000
Ni6 0.902 0.305 0.514
Ni7 0.954 0.907 0.820
Ni8 0.097 0.697 0.071
B2 0.673 0.000 0.000
Si2 0.000 0.000 0.500
Si3 0.286 0.572 0.756
Ni9 0.600 0.697 0.071
Si4 0.770 0.540 0.759
Si5 0.714 0.428 0.244
Ni10 0.403 0.305 0.514
Ni11 0.046 0.093 0.180
Ni12 0.098 0.695 0.486



Entry from Alexandria via LeMat-Bulk: a relaxed AlPtSe2 crystal (GGA-PBE).

Values from the calculation:
**Space group**: Pmmm
**E_tot**: -4.0433 eV/atom

Unit cell a=3.226 b=5.158 c=4.371 alpha=90.00 beta=90.00 gamma=90.00
Fractional positions:
Se1 0.500 0.500 0.000
Al1 0.500 0.000 0.500
Pt1 0.000 0.500 0.500
Se2 0.000 0.000 0.000



Entry from Alexandria via LeMat-Bulk: a relaxed Zn4SbIr crystal (GGA-PBE).

Values from the calculation:
**Space group**: F-43m
**E_tot**: -2.9199 eV/atom

Unit cell a=5.133 b=5.133 c=5.133 alpha=60.00 beta=60.00 gamma=60.00
Fractional positions:
Sb1 0.000 0.000 0.000
Zn1 0.623 0.623 0.130
Ir1 0.250 0.250 0.250
Zn2 0.623 0.130 0.623
Zn3 0.130 0.623 0.623
Zn4 0.623 0.623 0.623



Entry from Alexandria via LeMat-Bulk: a relaxed MgInSn3 crystal (GGA-PBE).

Values from the calculation:
**Space group**: Pm-3m
**ΔE to the lowest computed polymorph**: 0.355 eV per atom
**Formation enthalpy at 0 K**: 0.39 eV per atom

Unit cell a=5.431 b=5.431 c=5.431 alpha=90.00 beta=90.00 gamma=90.00
Fractional positions:
In1 0.500 0.500 0.500
Sn1 0.000 0.500 0.000
Sn2 0.000 0.000 0.500
Mg1 0.000 0.000 0.000
Sn3 0.500 0.000 0.000



Entry from Alexandria via LeMat-Bulk: a relaxed Th4NiOsSe2 crystal (GGA-PBE).

Values from the calculation:
**Space group**: P2/m
**E_tot**: -7.6915 eV/atom

Unit cell a=4.138 b=7.021 c=7.689 alpha=107.79 beta=90.00 gamma=90.00
Fractional positions:
Os1 0.500 0.500 0.000
Se1 0.500 0.000 0.500
Th1 0.500 0.241 0.214
Ni1 0.000 0.000 0.000
Th2 0.500 0.759 0.786
Se2 0.000 0.500 0.500
Th3 0.000 0.260 0.784
Th4 0.000 0.740 0.216



Entry from Alexandria via LeMat-Bulk: a relaxed Y2AsCl crystal (GGA-PBE).

Values from the calculation:
**Space group**: Amm2
**E_tot**: -6.1372 eV/atom

Unit cell a=6.147 b=6.147 c=4.127 alpha=89.99 beta=89.99 gamma=36.98
Fractional positions:
Cl1 0.246 0.246 0.125
Y1 0.020 0.020 0.125
Y2 0.749 0.749 0.625
As1 0.484 0.484 0.625



Entry from Alexandria via LeMat-Bulk: a relaxed Zr2Fe2Si crystal (GGA-PBE).

Values from the calculation:
**Space group**: I4/mmm
**ΔE to the lowest computed polymorph**: 0.407 eV per atom

Unit cell a=4.915 b=4.915 c=4.915 alpha=118.73 beta=118.73 gamma=92.22
Fractional positions:
Zr1 0.750 0.250 0.500
Fe1 0.325 0.325 0.000
Zr2 0.250 0.750 0.500
Si1 0.000 0.000 0.000
Fe2 0.675 0.675 0.000



Entry from Alexandria via LeMat-Bulk: a relaxed Nd3In2Pd4 crystal (GGA-PBE).

Values from the calculation:
**Space group**: C2/m
**Formation enthalpy at 0 K**: -0.73 eV per atom

Unit cell a=4.600 b=5.547 c=9.069 alpha=93.78 beta=90.00 gamma=114.50
Fractional positions:
Pd1 0.921 0.842 0.369
Pd2 0.079 0.158 0.631
Nd1 0.372 0.743 0.612
Pd3 0.714 0.428 0.088
Pd4 0.286 0.572 0.912
In1 0.675 0.350 0.782
Nd2 0.628 0.257 0.388
Nd3 0.000 0.000 0.000
In2 0.325 0.650 0.218